DFT (GGA+U) results for crystalline CrP2IO at its relaxed geometry.

Summary:
* E: -22.889 eV per cell
* DOS at the Fermi energy: 3.283 states/eV per cell

Cell lengths 4.8040, 4.8040, 3.6194 Å; angles 90.00, 90.00, 90.00 degrees
Sites, in units of the cell vectors:
1 O 0.0000 0.0000 0.5000
2 P 0.0000 0.5000 0.0000
3 Cr 0.0000 0.0000 0.0000
4 P 0.5000 0.0000 0.0000
5 I 0.5000 0.5000 0.5000